No. 1
## AlSiTc2 (PBEsol)

Data for AlSiTc2 after structural relaxation.

Computed properties:
As for the energy above the most stable polymorph in this dataset: 0 meV per atom. The value obtained for the final energy is -33.87 eV/cell. The space-group type is P4/mmm, No. 123. Its volume is 52.5 Å³ per cell. For the formation energy (no corrections), the calculation gives -144 kJ/mol of formula units.

a b c (Å): 4.1976 4.1976 2.9818
angles (deg): 90.00 90.00 90.00
Element x y z (fractional)
Al (0.0000, 0.0000, 0.0000)
Si (0.5000, 0.5000, 0.0000)
Tc (0.0000, 0.5000, 0.5000)
Tc (0.5000, 0.0000, 0.5000)

***

No. 2
## AlSiTc2 (PBEsol)

Data for AlSiTc2 after structural relaxation.

Computed properties:
As for the energy above the most stable polymorph in this dataset: 185 meV per atom. The value obtained for the final energy is -33.13 eV/cell. The space-group type is I-4m2, No. 119. Its volume is 54.1 Å³ per cell. For the formation energy (no corrections), the calculation gives -73 kJ/mol of formula units.

a b c (Å): 4.7659 4.7659 4.7659
angles (deg): 134.54 134.54 66.25
Element x y z (fractional)
Al (0.0000, 0.0000, 0.0000)
Si (0.7500, 0.2500, 0.5000)
Tc (0.2500, 0.7500, 0.5000)
Tc (0.5000, 0.5000, 0.0000)

***

No. 3
## TiAl2Si2 (PBEsol)

Data for TiAl2Si2 after structural relaxation.

Computed properties:
The value obtained for the final energy is -57.92 eV/cell. The space-group type is P4/mbm, No. 127. Its volume is 154.2 Å³ per cell. For the formation energy (no corrections), the calculation gives -93 kJ/mol of formula units.

a b c (Å): 6.5977 6.5977 3.5418
angles (deg): 90.00 90.00 90.00
Element x y z (fractional)
Ti (0.0000, 0.0000, 0.0000)
Ti (0.5000, 0.5000, 0.0000)
Al (0.1666, 0.3334, 0.5000)
Al (0.3334, 0.8334, 0.5000)
Al (0.6666, 0.1666, 0.5000)
Al (0.8334, 0.6666, 0.5000)
Si (0.1335, 0.6335, 0.0000)
Si (0.3665, 0.1335, 0.0000)
Si (0.6335, 0.8665, 0.0000)
Si (0.8665, 0.3665, 0.0000)

***

No. 4
## AlTl4Si (PBEsol)

Data for AlTl4Si after structural relaxation.

Computed properties:
The value obtained for the final energy is -16.82 eV/cell. The space-group type is F-43m, No. 216. Its volume is 164.3 Å³ per cell. For the formation energy (no corrections), the calculation gives 342 kJ/mol of formula units.

a b c (Å): 6.1478 6.1478 6.1478
angles (deg): 60.00 60.00 60.00
Element x y z (fractional)
Al (0.0000, 0.0000, 0.0000)
Tl (0.1257, 0.6248, 0.6248)
Tl (0.6248, 0.1257, 0.6248)
Tl (0.6248, 0.6248, 0.1257)
Tl (0.6248, 0.6248, 0.6248)
Si (0.2500, 0.2500, 0.2500)